The following is a DFT calculation (GGA-PBE) of an optimized crystal structure of ZnAu3.

Geometry as POSCAR:
```
ZnAu3
1.0
-5.251 5.251 2.539
5.251 -5.251 2.539
5.251 5.251 -2.539
Zn Au
4 12
direct
0.167 0.412 0.667
0.500 0.833 0.245
0.588 0.255 0.755
0.745 0.500 0.333
0.007 0.402 0.331
0.017 0.415 0.956
0.071 0.675 0.669
0.170 0.120 0.818
0.302 0.352 0.182
0.325 0.993 0.396
0.458 0.060 0.044
0.585 0.542 0.602
0.598 0.929 0.604
0.648 0.830 0.950
0.880 0.698 0.050
0.940 0.983 0.398
```

Results
- VASP energy: -45.84 eV for the cell shown
- ρ: 15.6 g cm⁻³
- E_form: -0.4 eV per formula unit
- Density of states at the Fermi level: 1.05 states/eV/f.u.